Below is a relaxed NiMoAsSe2 crystal, with properties calculated at the GGA-PBE level.

Cell and atoms, written as CIF:
```
data_NiMoAsSe2
_chemical_formula_sum 'Ni1 Mo1 As1 Se2'
_symmetry_space_group_name_H-M 'P 4/m m m'
_symmetry_Int_Tables_number 123
_symmetry_space_group_name_Hall '-P 4 2'
_cell_length_a 4.7386
_cell_length_b 4.7386
_cell_length_c 4.4379
_cell_angle_alpha 90.00
_cell_angle_beta 90.00
_cell_angle_gamma 90.00
loop_
_atom_site_label
_atom_site_type_symbol
_atom_site_fract_x
_atom_site_fract_y
_atom_site_fract_z
Ni1 Ni 0.0000 0.0000 0.0000
Mo1 Mo 0.5000 0.5000 0.5000
As1 As 0.0000 0.0000 0.5000
Se1 Se 0.0000 0.5000 0.0000
```

Output
Energy relative to the lowest polymorph listed for this composition   0 meV per atom
Calculated total energy   -4.9509 eV/atom
Raw formation energy   0.6953 eV/atom